1.
# BaTl3Fe4Cl12

A relaxed BaTl3Fe4Cl12 crystal (PBE, Alexandria).

Results
Formation energy (no corrections) (eV per atom): -0.9204
SG: R32

```
data_BaTl3Fe4Cl12
_chemical_formula_sum 'Ba1 Tl3 Fe4 Cl12'
_symmetry_space_group_name_H-M 'P 1'
_symmetry_Int_Tables_number 1
_cell_length_a 9.4411
_cell_length_b 9.4411
_cell_length_c 9.4411
_cell_angle_alpha 103.40
_cell_angle_beta 103.40
_cell_angle_gamma 103.40
loop_
_symmetry_equiv_pos_as_xyz
'x,y,z'
loop_
_atom_site_label
_atom_site_type_symbol
_atom_site_fract_x
_atom_site_fract_y
_atom_site_fract_z
Ba1 Ba 0.0000 0.0000 0.0000
Tl1 Tl 0.0000 0.5300 0.4700
Tl2 Tl 0.5300 0.4700 0.0000
Tl3 Tl 0.4700 0.0000 0.5300
Cl1 Cl 0.6483 0.5000 0.3517
Cl2 Cl 0.0140 0.6695 0.8379
Cl3 Cl 0.8379 0.0140 0.6695
Cl4 Cl 0.9860 0.1621 0.3305
Cl5 Cl 0.3305 0.9860 0.1621
Cl6 Cl 0.6695 0.8379 0.0140
Cl7 Cl 0.5000 0.1195 0.8805
Cl8 Cl 0.5000 0.3517 0.6483
Cl9 Cl 0.1621 0.3305 0.9860
Cl10 Cl 0.8805 0.5000 0.1195
Cl11 Cl 0.1195 0.8805 0.5000
Cl12 Cl 0.3517 0.6483 0.5000
Fe1 Fe 0.5000 0.5000 0.5000
Fe2 Fe 0.0304 0.5000 0.9696
Fe3 Fe 0.5000 0.9696 0.0304
Fe4 Fe 0.9696 0.0304 0.5000
```


2.
# NiHgPb2

A relaxed NiHgPb2 crystal (PBE, Alexandria).

Results
Calculated formation energy (eV per atom): 0.102
SG: P2/m

```
data_NiHgPb2
_chemical_formula_sum 'Ni1 Hg1 Pb2'
_symmetry_space_group_name_H-M 'P 1'
_symmetry_Int_Tables_number 1
_cell_length_a 3.3384
_cell_length_b 3.3389
_cell_length_c 9.6256
_cell_angle_alpha 68.42
_cell_angle_beta 90.00
_cell_angle_gamma 90.00
loop_
_symmetry_equiv_pos_as_xyz
'x,y,z'
loop_
_atom_site_label
_atom_site_type_symbol
_atom_site_fract_x
_atom_site_fract_y
_atom_site_fract_z
Pb1 Pb 0.0000 0.4454 0.5631
Pb2 Pb 0.0000 0.0546 0.9369
Hg1 Hg 0.5000 0.2500 0.2500
Ni1 Ni 0.5000 0.7500 0.7500
```


| no. | total magnetic moment (μB/cell) |
| --- | --- |
| 1 | 15.00 |
| 2 | 0.00 |